Entry 1:
A relaxed Pu2TeN2 crystal. Source: Alexandria, functional PBE.

Output
- Uncorrected formation energy: -1.06 eV per atom
- N(E_F): 29.46 states/eV/cell
- Space group: No. 11

Geometry as extended XYZ:
```
10
Lattice="4.036 0.000 0.000 0.000 6.972 -0.524 0.000 0.076 7.338" Properties=species:S:1:pos:R:3 pbc="T T T"
Pu 1.009 1.269 0.604
Pu 1.009 5.611 3.219
Pu 3.027 1.437 3.595
Pu 3.027 5.779 6.209
Te 3.027 3.830 1.480
Te 1.009 3.218 5.334
N 3.027 6.358 3.897
N 1.009 6.503 6.132
N 1.009 0.690 2.917
N 3.027 0.545 0.681
```



Entry 2:
A relaxed Sc2CoTcSn crystal. Source: Alexandria, functional PBE.

Output
- N(E_F): 5.98 states/eV/cell
- Formation energy: 1.253 eV per atom
- Space group: No. 123

Geometry as extended XYZ:
```
5
Lattice="-2.486 -1.633 4.277 3.875 -0.287 2.143 -0.512 4.935 1.587" Properties=species:S:1:pos:R:3 pbc="T T T"
Sc -0.256 2.468 0.793
Sc -1.243 -0.817 2.138
Co 1.938 -0.143 1.072
Sn 0.000 0.000 0.000
Tc 0.438 1.508 4.003
```



Entry 3:
A relaxed Sr2La2Re crystal. Source: Alexandria, functional PBE.

Output
- E above lowest polymorph: 0.642 eV per atom
- N(E_F): 8.27 states/eV/cell
- Formation energy: 1.079 eV per atom
- Space group: No. 139

Geometry as extended XYZ:
```
5
Lattice="-3.515 1.587 1.627 0.837 -1.881 3.644 3.712 7.946 5.653" Properties=species:S:1:pos:R:3 pbc="T T T"
Re 0.000 0.000 0.000
Sr -0.570 4.693 4.958
Sr 1.605 2.959 5.966
La -0.563 1.095 3.098
La 1.598 6.557 7.825
```



Entry 4:
A relaxed SrCuP2O crystal. Source: Alexandria, functional PBE.

Output
- E above lowest polymorph: 0.000 eV per atom
- Uncorrected formation energy: -0.15 eV per atom
- N(E_F): 4.60 states/eV/cell
- Space group: No. 123

Geometry as extended XYZ:
```
5
Lattice="-1.959 1.351 -3.810 3.597 -1.289 -2.306 -1.798 -4.083 -0.523" Properties=species:S:1:pos:R:3 pbc="T T T"
Sr -0.080 -2.011 -3.320
O 1.799 -0.644 -1.153
Cu 0.000 0.000 0.000
P -0.899 -2.042 -0.261
P -0.979 0.675 -1.905
```



Entry 5:
A relaxed PrErTmGa crystal. Source: Alexandria, functional PBE.

Output
- N(E_F): 6.59 states/eV/cell
- Formation energy: -0.092 eV per atom
- Space group: No. 216

Geometry as extended XYZ:
```
4
Lattice="-0.745 0.908 5.227 1.458 -3.694 3.595 4.211 0.884 3.192" Properties=species:S:1:pos:R:3 pbc="T T T"
Pr 2.462 -0.951 6.007
Tm 3.692 -1.427 9.011
Ga 1.231 -0.476 3.004
Er 0.000 0.000 0.000
```



Entry 6:
A relaxed LaTbRe crystal. Source: Alexandria, functional PBE.

Output
- N(E_F): 4.78 states/eV/cell
- Formation energy: 0.099 eV per atom
- Space group: No. 129

Geometry as extended XYZ:
```
6
Lattice="-2.551 -0.334 1.922 -0.740 -2.762 -1.462 8.395 -7.462 9.843" Properties=species:S:1:pos:R:3 pbc="T T T"
La 4.619 -5.816 5.120
La 2.130 -3.194 4.954
Tb 5.566 -6.248 8.983
Tb 1.183 -2.761 1.090
Re 7.643 -8.504 8.665
Re -0.894 -0.506 1.408
```



> Number 1 is which compound?

Pu2TeN2